[1]
The following is a DFT calculation (PBE) of an optimized crystal structure of Ce12GeRu6.

E_form (eV per atom): -0.17
Mass density (kg/m3): 7818
Space-group type: R-3 (148)
Magnetization (μB/atom): 0.197

The structure in POSCAR format:
```
Ce12GeRu6
1.0
7.990 0.173 0.207
-1.040 7.924 0.207
-1.040 -1.212 7.834
Ce Ge Ru
12 1 6
Cartesian
5.382 4.343 3.710 Ce
2.025 5.755 4.936 Ce
3.477 2.582 6.545 Ce
0.528 2.542 4.538 Ce
3.885 1.130 3.312 Ce
2.433 4.303 1.703 Ce
-0.763 7.146 2.962 Ce
-1.269 4.029 7.395 Ce
4.175 7.391 0.688 Ce
6.673 -0.261 5.286 Ce
7.179 2.856 0.853 Ce
1.734 -0.506 7.560 Ce
0.000 0.000 0.000 Ge
4.036 6.555 3.147 Ru
4.618 2.604 1.236 Ru
0.042 4.679 2.783 Ru
1.874 0.329 5.101 Ru
1.291 4.281 7.012 Ru
5.868 2.206 5.465 Ru
```



[2]
The following is a DFT calculation (PBE) of an optimized crystal structure of SiP3.

Mass density (kg/m3): 3143
Space-group type: Immm (71)
Magnetization (μB/atom): 0.000
E_form (uncorrected) (eV per atom): 0.5032

The structure in POSCAR format:
```
SiP3
1.0
-5.369 -0.888 0.368
-3.136 -1.286 -4.273
4.771 -1.429 2.224
P Si
3 1
Cartesian
-7.872 -2.012 -3.615 P
-2.425 -1.702 0.320 P
-4.885 -1.249 -2.243 P
-1.309 -1.901 -2.001 Si
```



[3]
The following is a DFT calculation (PBE) of an optimized crystal structure of Pm3DyCd8.

E_form (eV per atom): -0.28
Mass density (kg/m3): 8303
Space-group type: P3m1 (156)
Magnetization (μB/atom): 0.000

The structure in POSCAR format:
```
Pm3DyCd8
1.0
-3.977 4.227 -1.685
0.207 -5.289 -2.917
-6.355 -3.576 6.033
Pm Dy Cd
3 1 8
Cartesian
-5.392 -0.526 0.572 Pm
-2.961 0.842 -1.736 Pm
-5.970 -3.359 5.667 Pm
-3.541 -1.993 3.362 Dy
-4.363 -3.904 0.508 Cd
-1.189 -2.118 -2.505 Cd
-6.763 -0.590 3.648 Cd
-6.662 -3.173 2.223 Cd
-8.605 -1.109 1.400 Cd
-2.177 -1.931 0.297 Cd
-2.071 -4.643 -1.199 Cd
-4.111 -2.476 -2.063 Cd
```



[4]
The following is a DFT calculation (PBE) of an optimized crystal structure of CsInO2.

Mass density (kg/m3): 5149
Space-group type: Pnma (62)
Magnetization (μB/atom): 0.000
E_form (uncorrected) (eV per atom): -1.3803

The structure in POSCAR format:
```
CsInO2
1.0
6.997 0.000 0.000
0.000 3.347 0.000
0.000 0.000 15.408
Cs O In
4 8 4
Cartesian
0.959 0.837 10.299 Cs
2.540 2.510 2.595 Cs
6.038 2.510 5.109 Cs
4.457 0.837 12.813 Cs
4.643 0.837 7.134 O
5.852 2.510 14.838 O
2.354 2.510 8.274 O
1.144 0.837 0.570 O
4.991 0.837 9.942 O
5.504 2.510 2.238 O
2.006 2.510 5.466 O
1.493 0.837 13.170 O
2.506 0.837 6.722 In
0.992 2.510 14.426 In
4.491 2.510 8.686 In
6.004 0.837 0.982 In
```



[5]
The following is a DFT calculation (PBE) of an optimized crystal structure of HfPa2Al.

Relative energy among the computed polymorphs (meV/atom): 222
E_form (eV per atom): 0.10
Mass density (kg/m3): 11744
Space-group type: P4/mmm (123)
Magnetization (μB/atom): 0.000

The structure in POSCAR format:
```
HfPa2Al
1.0
-3.421 1.672 0.548
0.161 -0.896 3.738
2.906 5.549 1.205
Pa Hf Al
2 1 1
Cartesian
2.270 4.334 0.941 Pa
0.636 1.215 0.264 Pa
-0.177 3.163 2.745 Hf
-1.630 0.388 2.143 Al
```



[6]
The following is a DFT calculation (PBE) of an optimized crystal structure of LiEuZnPb.

E_form (eV per atom): -0.30
Mass density (kg/m3): 7306
Space-group type: F-43m (216)
Magnetization (μB/atom): 1.715

The structure in POSCAR format:
```
LiEuZnPb
1.0
5.176 0.000 0.000
2.588 4.483 0.000
2.588 1.494 4.227
Pb Eu Zn Li
1 1 1 1
Cartesian
0.000 0.000 0.000 Pb
7.765 4.483 3.170 Eu
5.176 2.989 2.113 Zn
2.588 1.494 1.057 Li
```



[7]
The following is a DFT calculation (PBE) of an optimized crystal structure of LaZrAs.

Relative energy among the computed polymorphs (meV/atom): 227
E_form (eV per atom): -0.77
Mass density (kg/m3): 7028
Space-group type: Imm2 (44)
Magnetization (μB/atom): 0.000

The structure in POSCAR format:
```
LaZrAs
1.0
4.470 0.000 0.000
0.000 3.985 0.000
0.000 0.000 16.187
As Zr La
4 4 4
Cartesian
0.000 0.000 7.540 As
2.235 1.992 15.634 As
0.000 0.000 3.105 As
2.235 1.992 11.199 As
0.000 1.992 5.425 Zr
2.235 0.000 13.518 Zr
0.000 0.000 0.043 Zr
2.235 1.992 8.137 Zr
0.000 1.992 13.451 La
2.235 0.000 5.357 La
0.000 0.000 10.507 La
2.235 1.992 2.413 La
```



[8]
The following is a DFT calculation (PBE) of an optimized crystal structure of NpV2W.

Relative energy among the computed polymorphs (meV/atom): 44
E_form (eV per atom): 0.31
Mass density (kg/m3): 13673
Space-group type: Fm-3m (225)
Magnetization (μB/atom): 0.495

The structure in POSCAR format:
```
NpV2W
1.0
-2.860 1.947 -2.842
-0.041 -1.206 -4.312
-3.457 -2.325 -1.641
Np W V
1 1 2
Cartesian
0.000 0.000 0.000 Np
-3.179 -0.792 -4.398 W
-1.590 -0.396 -2.199 V
-4.769 -1.188 -6.597 V
```



[9]
The following is a DFT calculation (PBE) of an optimized crystal structure of BaSc2Cl.

Relative energy among the computed polymorphs (meV/atom): 245
Mass density (kg/m3): 3733
Space-group type: I-42d (122)
Magnetization (μB/atom): 0.000
E_form (uncorrected) (eV per atom): -0.2497

The structure in POSCAR format:
```
BaSc2Cl
1.0
8.660 0.000 0.000
0.000 8.660 0.000
4.330 4.330 3.116
Sc Ba Cl
4 2 2
Cartesian
5.615 2.165 0.779 Sc
3.045 6.495 0.779 Sc
6.495 7.376 2.337 Sc
10.825 9.945 2.337 Sc
0.000 0.000 0.000 Ba
8.660 4.330 1.558 Ba
4.330 4.330 0.000 Cl
4.330 8.660 1.558 Cl
```



[10]
The following is a DFT calculation (PBE) of an optimized crystal structure of Pm2AlSn3Pt4.

E_form (eV per atom): -0.89
Mass density (kg/m3): 11100
Space-group type: P-4m2 (115)
Magnetization (μB/atom): 0.000

The structure in POSCAR format:
```
Pm2AlSn3Pt4
1.0
-2.174 -2.979 -2.591
3.925 -1.952 -1.049
-1.018 -6.558 8.396
Pm Al Sn Pt
2 1 3 4
Cartesian
-1.343 -3.139 0.815 Pm
1.200 -5.885 5.760 Pm
0.366 -5.745 2.378 Al
-0.509 -3.279 4.198 Sn
-1.970 -7.175 5.982 Sn
1.827 -1.849 0.593 Sn
0.875 -2.466 -1.820 Pt
0.000 0.000 0.000 Pt
-1.723 -5.587 3.950 Pt
1.580 -3.437 2.626 Pt
```



[11]
The following is a DFT calculation (PBE) of an optimized crystal structure of TbEuNiRh.

E_form (eV per atom): -0.38
Mass density (kg/m3): 9466
Space-group type: F-43m (216)
Magnetization (μB/atom): 1.662

The structure in POSCAR format:
```
TbEuNiRh
1.0
4.894 0.000 0.000
2.447 4.238 0.000
2.447 1.413 3.996
Eu Rh Tb Ni
1 1 1 1
Cartesian
4.894 2.826 1.998 Eu
7.341 4.238 2.997 Rh
0.000 0.000 0.000 Tb
2.447 1.413 0.999 Ni
```



[12]
The following is a DFT calculation (PBE) of an optimized crystal structure of GeH3Cl.

Relative energy among the computed polymorphs (meV/atom): 600
Mass density (kg/m3): 3672
Space-group type: Pm-3m (221)
Magnetization (μB/atom): 0.000

The structure in POSCAR format:
```
GeH3Cl
1.0
3.690 0.000 0.000
0.000 3.690 0.000
0.000 0.000 3.690
H Ge Cl
3 1 1
Cartesian
0.000 1.845 0.000 H
0.000 0.000 1.845 H
1.845 0.000 0.000 H
0.000 0.000 0.000 Ge
1.845 1.845 1.845 Cl
```



[13]
The following is a DFT calculation (PBE) of an optimized crystal structure of SmAlAgPd.

E_form (eV per atom): -0.49
Mass density (kg/m3): 8129
Space-group type: F-43m (216)
Magnetization (μB/atom): 0.000

The structure in POSCAR format:
```
SmAlAgPd
1.0
-2.425 4.175 0.283
-2.031 1.891 -3.961
-4.814 0.037 -0.467
Pd Ag Sm Al
1 1 1 1
Cartesian
-6.952 4.577 -3.109 Pd
-2.317 1.526 -1.036 Ag
-4.635 3.052 -2.073 Sm
0.000 0.000 0.000 Al
```



[14]
The following is a DFT calculation (PBE) of an optimized crystal structure of Er2Sc5Fe2.

E_form (eV per atom): -0.01
Mass density (kg/m3): 5474
Space-group type: Cmce (64)
Magnetization (μB/atom): 0.000

The structure in POSCAR format:
```
Er2Sc5Fe2
1.0
-1.053 1.986 6.265
6.407 -0.740 1.312
1.010 9.801 0.599
Er Sc Fe
4 10 4
Cartesian
0.298 5.723 1.772 Er
2.975 6.346 5.561 Er
-0.342 6.064 5.092 Er
3.388 4.701 2.616 Er
0.000 0.000 0.000 Sc
2.677 0.623 3.789 Sc
1.510 8.472 3.343 Sc
5.226 8.727 6.482 Sc
4.854 7.838 3.165 Sc
1.883 9.361 6.660 Sc
4.853 2.574 4.833 Sc
1.137 2.320 1.694 Sc
1.509 3.209 5.011 Sc
4.480 1.685 1.516 Sc
2.370 -0.057 1.239 Fe
2.983 1.302 6.338 Fe
5.292 0.104 3.570 Fe
0.061 1.142 4.007 Fe
```



[15]
The following is a DFT calculation (PBE) of an optimized crystal structure of Na3Pa2Se6.

Mass density (kg/m3): 4650
Space-group type: I4/mmm (139)
Magnetization (μB/atom): 0.100
E_form (uncorrected) (eV per atom): -1.0916

The structure in POSCAR format:
```
Na3Pa2Se6
1.0
-1.852 -0.437 -5.133
-3.282 -4.104 1.534
-6.118 10.137 4.264
Na Pa Se
3 2 6
Cartesian
0.000 0.000 0.000 Na
-8.237 2.865 -0.191 Na
-3.016 2.731 0.856 Na
-6.972 6.314 1.978 Pa
-4.281 -0.718 -1.313 Pa
-3.036 -0.789 1.163 Se
-2.321 1.045 -2.171 Se
-8.216 6.384 -0.498 Se
-8.931 4.551 2.835 Se
-6.141 0.966 -0.786 Se
-5.111 4.629 1.450 Se
```



[16]
The following is a DFT calculation (PBE) of an optimized crystal structure of La5PrMg2.

Relative energy among the computed polymorphs (meV/atom): 0
E_form (eV per atom): -0.01
Mass density (kg/m3): 5434
Space-group type: Cm (8)
Magnetization (μB/atom): 0.000

The structure in POSCAR format:
```
La5PrMg2
1.0
-5.071 3.786 3.116
0.759 -6.236 3.208
6.085 3.544 0.416
La Pr Mg
5 1 2
Cartesian
1.890 1.103 2.016 La
5.223 -0.193 3.783 La
2.372 4.697 3.743 La
-0.357 -0.175 5.096 La
-1.029 -0.547 1.492 La
-3.504 -1.977 5.132 Pr
2.226 -2.043 3.578 Mg
-0.692 2.965 3.529 Mg
```



[17]
The following is a DFT calculation (PBE) of an optimized crystal structure of CaGd2Y.

Relative energy among the computed polymorphs (meV/atom): 69
E_form (eV per atom): 0.13
Mass density (kg/m3): 5396
Space-group type: P4/mmm (123)
Magnetization (μB/atom): 3.841

The structure in POSCAR format:
```
CaGd2Y
1.0
-2.379 2.520 -1.849
-2.407 -4.470 -2.995
-4.026 -0.680 4.251
Y Ca Gd
1 1 2
Cartesian
-1.189 1.260 -0.925 Y
-4.406 -1.316 -0.296 Ca
-2.013 -0.340 2.126 Gd
-1.203 -2.235 -1.497 Gd
```



[18]
The following is a DFT calculation (PBE) of an optimized crystal structure of Cr2SiAg2.

Relative energy among the computed polymorphs (meV/atom): 0
Mass density (kg/m3): 7279
Space-group type: I4/mmm (139)
Magnetization (μB/atom): 0.000
E_form (uncorrected) (eV per atom): 0.7091

The structure in POSCAR format:
```
Cr2SiAg2
1.0
-0.925 -2.205 2.161
2.470 0.825 1.899
-3.616 4.527 5.473
Cr Si Ag
2 1 2
Cartesian
-1.884 0.816 4.832 Cr
-0.186 2.331 4.701 Cr
0.000 0.000 0.000 Si
-0.106 0.354 2.720 Ag
-1.965 2.792 6.814 Ag
```



[19]
The following is a DFT calculation (PBE) of an optimized crystal structure of Lu2MgSe4.

Relative energy among the computed polymorphs (meV/atom): 32
Mass density (kg/m3): 6037
Space-group type: Pnma (62)
Magnetization (μB/atom): 0.000
E_form (uncorrected) (eV per atom): -1.6565

The structure in POSCAR format:
```
Lu2MgSe4
1.0
-1.197 -6.582 -0.992
-0.924 -1.030 7.949
-13.599 2.660 -1.236
Lu Mg Se
8 4 16
Cartesian
-0.599 -3.291 -0.496 Lu
-6.800 1.330 -0.618 Lu
-7.262 0.815 3.357 Lu
-1.061 -3.806 3.479 Lu
-5.094 -6.719 4.680 Lu
-10.626 1.767 1.041 Lu
-4.422 -2.837 1.166 Lu
-11.298 -2.115 4.556 Lu
-2.599 -6.027 0.965 Mg
-13.121 1.075 4.757 Mg
-6.715 -2.419 5.049 Mg
-9.005 -2.533 0.673 Mg
-3.198 -4.366 -0.927 Se
-12.522 -0.586 6.648 Se
-5.679 -1.680 7.302 Se
-10.041 -3.272 -1.580 Se
-10.500 -3.784 2.374 Se
-5.220 -1.168 3.348 Se
-12.062 -0.073 2.694 Se
-3.658 -4.878 3.027 Se
-2.015 -2.222 5.621 Se
-13.705 -2.730 0.101 Se
-6.907 -4.068 0.718 Se
-8.813 -0.884 5.004 Se
-1.799 -1.917 1.590 Se
-13.922 -3.035 4.131 Se
-7.214 -4.871 4.673 Se
-8.506 -0.080 1.048 Se
```



[20]
The following is a DFT calculation (PBE) of an optimized crystal structure of DyThPbAu.

E_form (eV per atom): -0.44
Mass density (kg/m3): 12252
Space-group type: F-43m (216)
Magnetization (μB/atom): 0.000

The structure in POSCAR format:
```
DyThPbAu
1.0
5.349 0.000 0.000
2.675 4.633 0.000
2.675 1.544 4.368
Pb Au Th Dy
1 1 1 1
Cartesian
5.349 3.089 2.184 Pb
0.000 0.000 0.000 Au
2.675 1.544 1.092 Th
8.024 4.633 3.276 Dy
```